[1]
## ScIBr3 (PBE)

Data for an optimized crystal structure of ScIBr3.

a = 3.537 Å, b = 11.904 Å, c = 11.904 Å
α = 38.50°, β = 90.00°, γ = 90.00°
Atoms (fractional coordinates):
Sc (0.000, 0.000, 0.000)
I (0.500, 0.293, 0.293)
Br (0.000, 0.108, 0.108)
Br (0.500, 0.199, 0.737)
Br (0.500, 0.737, 0.199)

## Properties
E_tot in eV/cell: -18.684
E_form (uncorrected) in eV per atom: -1.16
Volume in A^3/atom: 62.41
Energy relative to the lowest polymorph listed for this composition in eV per formula unit: 0.903
Space-group type: Amm2
Magnetization in μB/cell: 0.3
N(E_F) in states/eV/cell: 4.759


[2]
## CrCuRe2 (PBE)

Data for an optimized crystal structure of CrCuRe2.

a = 2.599 Å, b = 4.103 Å, c = 5.273 Å
α = 90.00°, β = 103.77°, γ = 90.00°
Atoms (fractional coordinates):
Cr (0.000, 0.000, 0.000)
Cu (0.500, 0.000, 0.500)
Re (0.216, 0.500, 0.751)
Re (0.784, 0.500, 0.249)

## Properties
E_tot in eV/cell: -37.600
ΔE_f in eV per atom: 0.254
Volume in A^3/atom: 13.65
Energy relative to the lowest polymorph listed for this composition in eV per formula unit: 0.117
Space-group type: P2/m
Magnetization in μB/cell: 0.0
N(E_F) in states/eV/cell: 3.696


[3]
## ZnCd3I (PBE)

Data for an optimized crystal structure of ZnCd3I.

a = 5.323 Å, b = 5.323 Å, c = 5.323 Å
α = 90.00°, β = 90.00°, γ = 90.00°
Atoms (fractional coordinates):
Zn (0.000, 0.000, 0.000)
Cd (0.000, 0.000, 0.500)
Cd (0.000, 0.500, 0.000)
Cd (0.500, 0.000, 0.000)
I (0.500, 0.500, 0.500)

## Properties
E_tot in eV/cell: -5.397
E_form (uncorrected) in eV per atom: 0.03
Volume in A^3/atom: 30.17
Energy relative to the lowest polymorph listed for this composition in eV per formula unit: 0.000
Space-group type: Pm-3m
Magnetization in μB/cell: 0.0
N(E_F) in states/eV/cell: 1.622


[4]
## CoNiPd (PBE)

Data for an optimized crystal structure of CoNiPd.

a = 6.302 Å, b = 6.302 Å, c = 6.302 Å
α = 156.36°, β = 156.21°, γ = 33.79°
Atoms (fractional coordinates):
Co (0.000, 0.000, 0.000)
Ni (0.631, 0.631, 0.000)
Pd (0.317, 0.817, 0.500)

## Properties
E_tot in eV/cell: -17.257
ΔE_f in eV per atom: 0.274
Volume in A^3/atom: 13.49
Energy relative to the lowest polymorph listed for this composition in eV per formula unit: 0.753
Space-group type: Imm2
Magnetization in μB/cell: 2.8
N(E_F) in states/eV/cell: 2.893


[5]
## Ba2Ag12Sb7 (PBE)

Data for an optimized crystal structure of Ba2Ag12Sb7.

a = 11.043 Å, b = 11.043 Å, c = 4.854 Å
α = 90.00°, β = 90.00°, γ = 120.00°
Atoms (fractional coordinates):
Ba (0.333, 0.667, 0.235)
Ba (0.667, 0.333, 0.765)
Ag (0.055, 0.429, 0.805)
Ag (0.124, 0.253, 0.175)
Ag (0.129, 0.876, 0.175)
Ag (0.253, 0.129, 0.825)
Ag (0.375, 0.945, 0.805)
Ag (0.429, 0.375, 0.195)
Ag (0.571, 0.625, 0.805)
Ag (0.625, 0.055, 0.195)
Ag (0.747, 0.871, 0.175)
Ag (0.871, 0.124, 0.825)
Ag (0.876, 0.747, 0.825)
Ag (0.945, 0.571, 0.195)
Sb (0.000, 0.000, 0.500)
Sb (0.106, 0.703, 0.698)
Sb (0.297, 0.402, 0.698)
Sb (0.402, 0.106, 0.302)
Sb (0.598, 0.894, 0.698)
Sb (0.703, 0.598, 0.302)
Sb (0.894, 0.297, 0.302)

## Properties
E_tot in eV/cell: -70.696
E_form (uncorrected) in eV per atom: -0.18
Volume in A^3/atom: 24.41
Space-group type: P-3
Magnetization in μB/cell: 0.0
N(E_F) in states/eV/cell: 7.752


[6]
## Sn2GeBiH (PBE)

Data for an optimized crystal structure of Sn2GeBiH.

a = 5.795 Å, b = 5.795 Å, c = 3.465 Å
α = 90.00°, β = 90.00°, γ = 90.00°
Atoms (fractional coordinates):
Sn (0.000, 0.500, 0.000)
Sn (0.500, 0.000, 0.000)
Ge (0.000, 0.000, 0.000)
Bi (0.500, 0.500, 0.500)
H (0.000, 0.000, 0.500)

## Properties
E_tot in eV/cell: -18.983
Volume in A^3/atom: 23.27
Space-group type: P4/mmm
Magnetization in μB/cell: 0.0
N(E_F) in states/eV/cell: 0.779